The following is a DFT calculation (PBE) of a relaxed SmDy5Y2 crystal.

Summary:
E above lowest polymorph ... 162 meV per atom
ΔH_f (0 K) ... 0.18 eV per atom

a b c (Å): 13.0553 13.0553 6.3363
angles (deg): 90.18 90.18 151.18
Last column: nearest neighbours and their distance in Å.
Element x y z (fractional)
Sm1 0.0882 0.9118 0.7500  6 Dy 3.25-3.55, 4 Y 3.47-3.50
Sm2 0.9118 0.0882 0.2500  6 Dy 3.25-3.55, 4 Y 3.47-3.50
Dy1 0.0430 0.4549 0.1642  4 Dy 3.05-3.41
Dy2 0.0888 0.4124 0.6552  6 Dy 3.31-3.55, 1 Y 3.45, 1 Sm 3.55
Dy3 0.4099 0.5901 0.2500  2 Sm 3.25, 4 Dy 3.39-3.55, 4 Y 3.43-3.52
Dy4 0.4124 0.0888 0.1552  6 Dy 3.31-3.55, 1 Y 3.45, 1 Sm 3.55
Dy5 0.4549 0.0430 0.6642  4 Dy 3.05-3.41
Dy6 0.5451 0.9570 0.3358  4 Dy 3.05-3.41
Dy7 0.5876 0.9112 0.8448  6 Dy 3.31-3.55, 1 Y 3.45, 1 Sm 3.55
Dy8 0.5901 0.4099 0.7500  2 Sm 3.25, 4 Dy 3.39-3.55, 4 Y 3.43-3.52
Dy9 0.9112 0.5876 0.3448  6 Dy 3.31-3.55, 1 Y 3.45, 1 Sm 3.55
Dy10 0.9570 0.5451 0.8358  4 Dy 3.05-3.41
Y1 0.2214 0.2859 0.8268  4 Y 3.36-3.56, 3 Dy 3.43-3.52, 2 Sm 3.47-3.50
Y2 0.2859 0.2214 0.3268  4 Y 3.36-3.56, 3 Dy 3.43-3.52, 2 Sm 3.47-3.50
Y3 0.7141 0.7786 0.6732  4 Y 3.36-3.56, 3 Dy 3.43-3.52, 2 Sm 3.47-3.50
Y4 0.7786 0.7141 0.1732  4 Y 3.36-3.56, 3 Dy 3.43-3.52, 2 Sm 3.47-3.50

=====

The following is a DFT calculation (PBE) of a relaxed Ba2LaAg2 crystal.

Summary:
E above lowest polymorph ... 0 meV per atom
ΔH_f (0 K) ... -0.12 eV per atom

a b c (Å): 8.7490 8.7490 4.7938
angles (deg): 90.00 90.00 90.00
Last column: nearest neighbours and their distance in Å.
Element x y z (fractional)
Ba1 0.1706 0.3294 0.0000  6 Ag 3.47-3.55
Ba2 0.3294 0.8294 0.0000  6 Ag 3.47-3.55
Ba3 0.6706 0.1706 0.0000  6 Ag 3.47-3.55
Ba4 0.8294 0.6706 0.0000  6 Ag 3.47-3.55
La1 0.0000 0.0000 0.5000  4 Ag 3.45
La2 0.5000 0.5000 0.5000  4 Ag 3.45
Ag1 0.1261 0.6261 0.5000  1 Ag 3.12, 2 La 3.45, 2 Ba 3.47
Ag2 0.3739 0.1261 0.5000  1 Ag 3.12, 2 La 3.45, 2 Ba 3.47
Ag3 0.6261 0.8739 0.5000  1 Ag 3.12, 2 La 3.45, 2 Ba 3.47
Ag4 0.8739 0.3739 0.5000  1 Ag 3.12, 2 La 3.45, 2 Ba 3.47

=====

The following is a DFT calculation (PBE) of a relaxed YRe2 crystal.

Summary:
ΔH_f (0 K) ... 2.07 eV per atom

a b c (Å): 6.5909 6.5909 6.5909
angles (deg): 90.00 90.00 90.00
Last column: nearest neighbours and their distance in Å.
Element x y z (fractional)
Y1 0.0000 0.0000 0.0000  6 Re 2.80
Y2 0.0000 0.5000 0.5000  6 Re 2.80
Y3 0.5000 0.0000 0.5000  6 Re 2.80
Y4 0.5000 0.5000 0.0000  6 Re 2.80
Re1 0.0996 0.5996 0.9004  1 Re 2.27
Re2 0.0996 0.9004 0.4004  1 Re 2.27
Re3 0.4004 0.0996 0.9004  1 Re 2.27
Re4 0.4004 0.4004 0.4004  1 Re 2.27
Re5 0.5996 0.5996 0.5996  1 Re 2.27
Re6 0.5996 0.9004 0.0996  1 Re 2.27
Re7 0.9004 0.0996 0.5996  1 Re 2.27
Re8 0.9004 0.4004 0.0996  1 Re 2.27

=====

The following is a DFT calculation (PBE) of a relaxed CaSm3Ho crystal.

Summary:
E above lowest polymorph ... 47 meV per atom
ΔH_f (0 K) ... 0.38 eV per atom

a b c (Å): 12.2835 12.2835 12.2835
angles (deg): 29.02 29.02 29.02
Last column: nearest neighbours and their distance in Å.
Element x y z (fractional)
Ca1 0.1665 0.1665 0.1665  3 Ca 3.55, 6 Sm 3.71-3.74
Ca2 0.8335 0.8335 0.8335  3 Ca 3.55, 6 Sm 3.71-3.74
Sm1 0.0815 0.4070 0.7474  2 Ho 3.44-3.47, 6 Sm 3.52-3.60, 2 Ca 3.71-3.74
Sm2 0.2526 0.9185 0.5930  2 Ho 3.44-3.47, 6 Sm 3.52-3.60, 2 Ca 3.71-3.74
Sm3 0.4070 0.7474 0.0815  2 Ho 3.44-3.47, 6 Sm 3.52-3.60, 2 Ca 3.71-3.74
Sm4 0.5930 0.2526 0.9185  2 Ho 3.44-3.47, 6 Sm 3.52-3.60, 2 Ca 3.71-3.74
Sm5 0.7474 0.0815 0.4070  2 Ho 3.44-3.47, 6 Sm 3.52-3.60, 2 Ca 3.71-3.74
Sm6 0.9185 0.5930 0.2526  2 Ho 3.44-3.47, 6 Sm 3.52-3.60, 2 Ca 3.71-3.74
Ho1 0.3336 0.3336 0.3336  6 Sm 3.44-3.47, 3 Ho 3.55
Ho2 0.6664 0.6664 0.6664  6 Sm 3.44-3.47, 3 Ho 3.55

=====

The following is a DFT calculation (PBE) of a relaxed Th2In9Hg crystal.

Summary:
ΔH_f (0 K) ... -0.18 eV per atom

a b c (Å): 4.6775 4.6775 14.6904
angles (deg): 90.00 90.00 90.00
Last column: nearest neighbours and their distance in Å.
Element x y z (fractional)
Th1 0.0000 0.0000 0.1607  12 In 3.31-3.43
Th2 0.0000 0.0000 0.8393  12 In 3.31-3.43
In1 0.0000 0.5000 0.0000  8 In 3.31-3.36, 4 Th 3.32
In2 0.0000 0.5000 0.3316  8 In 3.31-3.40, 2 Hg 3.40, 2 Th 3.43
In3 0.0000 0.5000 0.6684  8 In 3.31-3.40, 2 Hg 3.40, 2 Th 3.43
In4 0.5000 0.0000 0.0000  8 In 3.31-3.36, 4 Th 3.32
In5 0.5000 0.0000 0.3316  8 In 3.31-3.40, 2 Hg 3.40, 2 Th 3.43
In6 0.5000 0.0000 0.6684  8 In 3.31-3.40, 2 Hg 3.40, 2 Th 3.43
In7 0.5000 0.5000 0.1639  4 Th 3.31, 8 In 3.36-3.40
In8 0.5000 0.5000 0.5000  4 Hg 3.31, 8 In 3.40
In9 0.5000 0.5000 0.8361  4 Th 3.31, 8 In 3.36-3.40
Hg1 0.0000 0.0000 0.5000  12 In 3.31-3.40

=====

The following is a DFT calculation (PBE) of a relaxed LiSmH6Pt2 crystal.

Summary:
Electronic total energy ... -43.3 eV per cell

a b c (Å): 5.8545 5.8545 5.8545
angles (deg): 45.24 45.24 45.24
Last column: nearest neighbours and their distance in Å.
Element x y z (fractional)
Li1 0.0000 0.0000 0.0000  6 H 1.99
Sm1 0.5000 0.5000 0.5000  12 H 2.48
H1 0.0546 0.0546 0.5902  1 Pt 1.65
H2 0.0546 0.5902 0.0546  1 Pt 1.65
H3 0.4098 0.9454 0.9454  1 Pt 1.65
H4 0.5902 0.0546 0.0546  1 Pt 1.65
H5 0.9454 0.4098 0.9454  1 Pt 1.65
H6 0.9454 0.9454 0.4098  1 Pt 1.65
Pt1 0.2899 0.2899 0.2899  3 H 1.65
Pt2 0.7101 0.7101 0.7101  3 H 1.65

=====

The following is a DFT calculation (PBE) of a relaxed SrNbBO5 crystal.

Summary:
Raw formation energy ... -20.9 eV per formula unit

a b c (Å): 5.4835 5.4835 7.3636
angles (deg): 104.59 104.59 105.50
Last column: nearest neighbours and their distance in Å.
Element x y z (fractional)
Sr1 0.1597 0.8403 0.7500  5 O 2.35-2.56
Sr2 0.8403 0.1597 0.2500  5 O 2.35-2.56
Nb1 0.5000 0.5000 0.0000  6 O 1.94-2.06
Nb2 0.5000 0.5000 0.5000  6 O 1.94-2.06
B1 0.1865 0.8135 0.2500  4 O 1.52-1.53
B2 0.8135 0.1865 0.7500  4 O 1.52-1.53
O1 0.1010 0.2647 0.8897  1 B 1.53
O2 0.2006 0.6288 0.3724  1 B 1.52
O3 0.2647 0.1010 0.3897  1 B 1.53
O4 0.3712 0.7994 0.1276  1 B 1.52
O5 0.4288 0.5712 0.7500  2 Nb 1.94
O6 0.5712 0.4288 0.2500  2 Nb 1.94
O7 0.6288 0.2006 0.8724  1 B 1.52
O8 0.7353 0.8990 0.6103  1 B 1.53
O9 0.7994 0.3712 0.6276  1 B 1.52
O10 0.8990 0.7353 0.1103  1 B 1.53

=====

The following is a DFT calculation (PBE) of a relaxed PmPrInPb crystal.

Summary:
E above lowest polymorph ... 0 meV per atom
ΔH_f (0 K) ... -0.53 eV per atom

a b c (Å): 4.4672 6.4095 6.4095
angles (deg): 43.35 90.00 90.00
Last column: nearest neighbours and their distance in Å.
Element x y z (fractional)
Pm1 0.0000 0.0000 0.0000  3 In 3.28-3.57, 4 Pb 3.31
Pr1 0.5000 0.7271 0.7271  3 Pb 3.30-3.56, 4 In 3.30
In1 0.0000 0.2753 0.2753  2 Pb 3.06, 1 Pm 3.28, 4 Pr 3.30
Pb1 0.5000 0.4504 0.4504  2 In 3.06, 1 Pr 3.30, 4 Pm 3.31

=====

The following is a DFT calculation (PBE) of a relaxed La4InSn3 crystal.

Summary:
ΔH_f (0 K) ... -0.74 eV per atom

a b c (Å): 4.4700 4.8269 12.0262
angles (deg): 90.00 90.00 90.00
Last column: nearest neighbours and their distance in Å.
Element x y z (fractional)
La1 0.0000 0.0000 0.0000  7 Sn 3.34-3.59
La2 0.0000 0.5000 0.4983  3 Sn 3.33-3.59, 4 In 3.36
La3 0.5000 0.0000 0.2725  6 Sn 3.35-3.61, 1 In 3.38
La4 0.5000 0.5000 0.7734  5 Sn 3.31-3.35, 2 In 3.58
In1 0.5000 0.0000 0.5539  2 Sn 2.99
Sn1 0.0000 0.0000 0.7191  2 In 2.99
Sn2 0.0000 0.5000 0.2213  2 Sn 3.05, 5 La 3.33-3.35
Sn3 0.5000 0.5000 0.0489  2 Sn 3.05, 5 La 3.31-3.34

=====

The following is a DFT calculation (PBE) of a relaxed Nb2GaRh5 crystal.

Summary:
ΔH_f (0 K) ... -0.59 eV per atom

a b c (Å): 5.5048 10.8186 4.0330
angles (deg): 90.00 90.00 90.00
Last column: nearest neighbours and their distance in Å.
Element x y z (fractional)
Nb1 0.1879 0.1399 0.0000  10 Rh 2.70-2.84
Nb2 0.3121 0.6399 0.0000  10 Rh 2.70-2.84
Nb3 0.6879 0.3601 0.0000  10 Rh 2.70-2.84
Nb4 0.8121 0.8601 0.0000  10 Rh 2.70-2.84
Ga1 0.0000 0.5000 0.5000  8 Rh 2.59-2.75
Ga2 0.5000 0.0000 0.5000  8 Rh 2.59-2.75
Rh1 0.0000 0.0000 0.5000  4 Nb 2.73, 2 Ga 2.75, 6 Rh 2.77-2.87
Rh2 0.0585 0.7457 0.5000  1 Ga 2.68, 4 Nb 2.71-2.73, 7 Rh 2.75-2.87
Rh3 0.2006 0.3889 0.0000  2 Ga 2.59, 4 Nb 2.70-2.84, 6 Rh 2.87
Rh4 0.2994 0.8889 0.0000  2 Ga 2.59, 4 Nb 2.70-2.84, 6 Rh 2.87
Rh5 0.4415 0.2457 0.5000  1 Ga 2.68, 4 Nb 2.71-2.73, 7 Rh 2.75-2.87
Rh6 0.5000 0.5000 0.5000  4 Nb 2.73, 2 Ga 2.75, 6 Rh 2.77-2.87
Rh7 0.5585 0.7543 0.5000  1 Ga 2.68, 4 Nb 2.71-2.73, 7 Rh 2.75-2.87
Rh8 0.7006 0.1111 0.0000  2 Ga 2.59, 4 Nb 2.70-2.84, 6 Rh 2.87
Rh9 0.7994 0.6111 0.0000  2 Ga 2.59, 4 Nb 2.70-2.84, 6 Rh 2.87
Rh10 0.9415 0.2543 0.5000  1 Ga 2.68, 4 Nb 2.71-2.73, 7 Rh 2.75-2.87